No. 1
First-principles (PBE-GGA) data for a geometry-optimized NaCoSn structure, as listed in OQMD.

Values from the calculation:
For the uncorrected energy, the calculation gives -37.846 eV for the cell shown. Its crystal system is cubic.

Cell: 6.4587 6.4587 6.4587 Å, 90.00 90.00 90.00°
With the nearest neighbours (Å) after each atom.
Atoms (fractional coordinates):
1 Na 0.0000 0.0000 0.0000  4 Sn 2.80, 4 Co 2.80
2 Na 0.0000 0.5000 0.5000  4 Sn 2.80, 4 Co 2.80
3 Na 0.5000 0.0000 0.5000  4 Sn 2.80, 4 Co 2.80
4 Na 0.5000 0.5000 0.0000  4 Sn 2.80, 4 Co 2.80
5 Co 0.2500 0.2500 0.7500  4 Na 2.80
6 Co 0.2500 0.7500 0.2500  4 Na 2.80
7 Co 0.7500 0.2500 0.2500  4 Na 2.80
8 Co 0.7500 0.7500 0.7500  4 Na 2.80
9 Sn 0.2500 0.2500 0.2500  4 Na 2.80
10 Sn 0.2500 0.7500 0.7500  4 Na 2.80
11 Sn 0.7500 0.2500 0.7500  4 Na 2.80
12 Sn 0.7500 0.7500 0.2500  4 Na 2.80

***

No. 2
First-principles (PBE-GGA) data for a geometry-optimized SmDyLu structure, as listed in OQMD.

Values from the calculation:
For the uncorrected energy, the calculation gives -46.894 eV for the cell shown. The formation energy comes out at 0.7042 eV/atom. The energy above the most stable polymorph in this dataset is 0 meV/atom. Its crystal system is cubic.

Cell: 7.6234 7.6234 7.6234 Å, 90.00 90.00 90.00°
With the nearest neighbours (Å) after each atom.
Atoms (fractional coordinates):
1 Sm 0.0000 0.0000 0.0000  4 Lu 3.30
2 Sm 0.0000 0.5000 0.5000  4 Lu 3.30
3 Sm 0.5000 0.0000 0.5000  4 Lu 3.30
4 Sm 0.5000 0.5000 0.0000  4 Lu 3.30
5 Dy 0.0000 0.0000 0.5000  4 Lu 3.30
6 Dy 0.0000 0.5000 0.0000  4 Lu 3.30
7 Dy 0.5000 0.0000 0.0000  4 Lu 3.30
8 Dy 0.5000 0.5000 0.5000  4 Lu 3.30
9 Lu 0.2500 0.2500 0.7500  4 Dy 3.30, 4 Sm 3.30
10 Lu 0.2500 0.7500 0.2500  4 Dy 3.30, 4 Sm 3.30
11 Lu 0.7500 0.2500 0.2500  4 Dy 3.30, 4 Sm 3.30
12 Lu 0.7500 0.7500 0.7500  4 Dy 3.30, 4 Sm 3.30

***

No. 3
First-principles (PBE-GGA) data for a geometry-optimized ReAg2As structure, as listed in OQMD.

Values from the calculation:
For the uncorrected energy, the calculation gives -80.065 eV for the cell shown. Its crystal system is cubic.

Cell: 6.3868 6.3868 6.3868 Å, 90.00 90.00 90.00°
With the nearest neighbours (Å) after each atom.
Atoms (fractional coordinates):
1 Re 0.0000 0.0000 0.0000  4 As 2.77, 4 Ag 2.77
2 Re 0.0000 0.5000 0.5000  4 As 2.77, 4 Ag 2.77
3 Re 0.5000 0.0000 0.5000  4 As 2.77, 4 Ag 2.77
4 Re 0.5000 0.5000 0.0000  4 As 2.77, 4 Ag 2.77
5 Ag 0.0000 0.0000 0.5000  4 As 2.77, 4 Ag 2.77
6 Ag 0.0000 0.5000 0.0000  4 As 2.77, 4 Ag 2.77
7 Ag 0.2500 0.2500 0.2500  4 Re 2.77, 4 Ag 2.77
8 Ag 0.2500 0.7500 0.7500  4 Re 2.77, 4 Ag 2.77
9 Ag 0.5000 0.0000 0.0000  4 As 2.77, 4 Ag 2.77
10 Ag 0.5000 0.5000 0.5000  4 Ag 2.77, 4 As 2.77
11 Ag 0.7500 0.2500 0.7500  4 Re 2.77, 4 Ag 2.77
12 Ag 0.7500 0.7500 0.2500  4 Re 2.77, 4 Ag 2.77
13 As 0.2500 0.2500 0.7500  4 Re 2.77, 4 Ag 2.77
14 As 0.2500 0.7500 0.2500  4 Re 2.77, 4 Ag 2.77
15 As 0.7500 0.2500 0.2500  4 Re 2.77, 4 Ag 2.77
16 As 0.7500 0.7500 0.7500  4 Re 2.77, 4 Ag 2.77

***

No. 4
First-principles (PBE-GGA) data for a geometry-optimized Pr4Ga4O11 structure, as listed in OQMD.

Values from the calculation:
For the uncorrected energy, the calculation gives -132.976 eV for the cell shown. Its crystal system is triclinic.

Cell: 5.4444 5.4978 7.8243 Å, 89.98 89.67 88.14°
With the nearest neighbours (Å) after each atom.
Atoms (fractional coordinates):
1 Pr 0.0000 0.0000 0.0000  6 O 2.39-2.60
2 Pr 0.0155 0.0845 0.5023  5 O 2.36-2.62
3 Pr 0.5080 0.5929 0.5093  5 O 2.33-2.60
4 Pr 0.5339 0.5156 0.0073  6 O 2.39-2.56
5 Ga 0.0179 0.5470 0.2558  6 O 1.95-2.03
6 Ga 0.0484 0.5198 0.7527  5 O 2.04-2.15
7 Ga 0.5090 0.0519 0.7570  5 O 1.96-2.01
8 Ga 0.5109 0.0530 0.2547  6 O 1.95-2.02
9 O 0.0960 0.5615 0.0092  2 Ga 1.98-2.04
10 O 0.2303 0.8367 0.2971  2 Ga 1.99-2.03
11 O 0.2312 0.8428 0.7145  2 Ga 1.96-2.08
12 O 0.3035 0.3382 0.3072  2 Ga 1.95
13 O 0.4303 0.0710 0.0055  2 Ga 1.99-2.00
14 O 0.5858 0.0397 0.5067  2 Ga 2.00-2.02
15 O 0.7273 0.7641 0.2133  2 Ga 1.97-1.98
16 O 0.7341 0.7607 0.7959  2 Ga 2.01-2.15
17 O 0.7863 0.2657 0.7945  2 Ga 1.97-2.05
18 O 0.8018 0.2604 0.2117  2 Ga 2.01-2.03
19 O 0.9341 0.5379 0.5009  2 Ga 1.97-2.07

***

No. 5
First-principles (PBE-GGA) data for a geometry-optimized Ba2SrIrO6 structure, as listed in OQMD.

Values from the calculation:
For the uncorrected energy, the calculation gives -64.372 eV for the cell shown. Its crystal system is cubic.

Cell: 6.0428 6.0428 6.0428 Å, 60.00 60.00 60.00°
With the nearest neighbours (Å) after each atom.
Atoms (fractional coordinates):
1 Ba 0.2500 0.2500 0.2500  12 O 3.03
2 Ba 0.7500 0.7500 0.7500  12 O 3.03
3 Sr 0.0000 0.0000 0.0000  6 O 2.34
4 Ir 0.5000 0.5000 0.5000  6 O 1.93
5 O 0.2737 0.2737 0.7263  1 Ir 1.93
6 O 0.2737 0.7263 0.2737  1 Ir 1.93
7 O 0.2737 0.7263 0.7263  1 Ir 1.93
8 O 0.7263 0.2737 0.2737  1 Ir 1.93
9 O 0.7263 0.2737 0.7263  1 Ir 1.93
10 O 0.7263 0.7263 0.2737  1 Ir 1.93

***

No. 6
First-principles (PBE-GGA) data for a geometry-optimized Tm3Zr3Te2Os structure, as listed in OQMD.

Values from the calculation:
For the uncorrected energy, the calculation gives -62.631 eV for the cell shown. The energy above the most stable polymorph in this dataset is 0 meV/atom. Its crystal system is hexagonal.

Cell: 8.0647 8.0647 3.7974 Å, 90.00 90.00 120.00°
With the nearest neighbours (Å) after each atom.
Atoms (fractional coordinates):
1 Tm 0.0000 0.3966 0.0000  4 Te 3.12, 1 Os 3.20, 6 Zr 3.38-3.48
2 Tm 0.3966 0.0000 0.0000  4 Te 3.12, 1 Os 3.20, 6 Zr 3.38-3.48
3 Tm 0.6034 0.6034 0.0000  4 Te 3.12, 1 Os 3.20, 6 Zr 3.38-3.48
4 Zr 0.0000 0.7578 0.5000  2 Os 2.72
5 Zr 0.2422 0.2422 0.5000  2 Os 2.72
6 Zr 0.7578 0.0000 0.5000  2 Os 2.72
7 Te 0.3333 0.6667 0.5000  6 Tm 3.12, 3 Zr 3.12
8 Te 0.6667 0.3333 0.5000  6 Tm 3.12, 3 Zr 3.12
9 Os 0.0000 0.0000 0.0000  6 Zr 2.72

***

Q: Which value of uncorrected energy does entry 2 give?
A: -46.894 eV for the cell shown